A plane-wave DFT calculation with PBE-GGA was carried out for a relaxed structure of ThCd5Ag.

formation energy from the elements: -2.06 kcal/mol of atoms
V: 24.9 Å³ per atom

Lattice parameters (Å, degrees): 4.804 4.804 7.548 90.00 90.00 90.00
Sites, in units of the cell vectors:
Ag: 0.000 0.000 0.500
Cd: 0.500 0.500 0.000
Cd: 0.500 0.000 0.295
Th: 0.000 0.000 0.000
Cd: 0.500 0.000 0.705
Cd: 0.000 0.500 0.705
Cd: 0.000 0.500 0.295

***

A plane-wave DFT calculation with PBE-GGA was carried out for a relaxed structure of Tb6ErMg.

formation energy from the elements: 0.50 kcal/mol of atoms
V: 30.7 Å³ per atom

Lattice parameters (Å, degrees): 5.002 6.067 9.290 77.64 74.38 65.65
Sites, in units of the cell vectors:
Tb: 0.499 0.752 0.250
Er: 0.000 0.500 0.500
Tb: 0.754 0.615 0.876
Tb: 0.246 0.385 0.124
Tb: 0.501 0.248 0.750
Mg: 0.000 0.000 0.000
Tb: 0.750 0.127 0.373
Tb: 0.250 0.873 0.627

***

A plane-wave DFT calculation with PBE-GGA was carried out for a relaxed structure of PmSmSi2.

V: 23.4 Å³ per atom
ΔE_f (raw): -789 meV per atom

Lattice parameters (Å, degrees): 3.916 5.856 8.156 90.00 90.00 90.00
Sites, in units of the cell vectors:
Sm: 0.000 0.136 0.680
Sm: 0.000 0.864 0.180
Pm: 0.500 0.365 0.320
Si: 0.500 0.874 0.464
Si: 0.500 0.126 0.964
Pm: 0.500 0.635 0.820
Si: 0.000 0.373 0.036
Si: 0.000 0.627 0.536

***

> Among the records above, which one has the lowest V?

PmSmSi2

***

> V of number 2 (Tb6ErMg)?

30.7 Å³ per atom